# TcMoPO2, relaxed, DFT PBE with a Hubbard U
# Crystal system: tetragonal
# E above lowest polymorph: 0.0 meV per atom
# Raw total energy: -7.013 eV per atom
data_TcMoPO2
_chemical_formula_sum 'Tc1 Mo1 P1 O2'
_cell_length_a 3.7707
_cell_length_b 3.7707
_cell_length_c 5.4276
_cell_angle_alpha 90.00
_cell_angle_beta 90.00
_cell_angle_gamma 90.00
_symmetry_space_group_name_H-M 'P 4/m m m'
_symmetry_Int_Tables_number 123
_symmetry_space_group_name_Hall '-P 4 2'
loop_
_atom_site_label
_atom_site_type_symbol
_atom_site_fract_x
_atom_site_fract_y
_atom_site_fract_z
Tc1 Tc 0.0000 0.0000 0.0000
Mo1 Mo 0.5000 0.5000 0.5000
P1 P 0.0000 0.0000 0.5000
O1 O 0.0000 0.5000 0.0000